(1)
The following is a DFT calculation (GGA-PBE) of a relaxed CaTeAs3 crystal.

Unit cell a=5.361 b=5.361 c=5.361 alpha=90.00 beta=90.00 gamma=90.00
Space group Pm-3m (No. 221)
Unique sites:
Ca: 0.000 0.000 0.000 x1
Te: 0.500 0.500 0.500 x1
As: 0.000 0.000 0.500 x3

ΔE_f (raw) in kcal/mol of atoms: 18.8
Size of the total moment in μB per atom: 0.00

---

(2)
The following is a DFT calculation (GGA-PBE) of a relaxed Ca2TeAs2 crystal.

Unit cell a=7.955 b=7.955 c=4.090 alpha=90.00 beta=90.00 gamma=90.00
Space group P4/mbm (No. 127)
Unique sites:
Ca: 0.152 0.348 0.000 x4
Te: 0.000 0.000 0.500 x2
As: 0.157 0.657 0.500 x4

ΔE_f (raw) in kcal/mol of atoms: -18.7
Size of the total moment in μB per atom: 0.00

---

(3)
The following is a DFT calculation (GGA-PBE) of a relaxed Ca2TeAs crystal.

Unit cell a=11.948 b=4.043 c=4.743 alpha=90.00 beta=95.78 gamma=90.00
Space group Cm (No. 8)
Unique sites:
Ca: 0.000 0.000 0.000 x2
Ca: 0.249 0.000 0.514 x2
Te: 0.013 0.500 0.506 x2
As: 0.247 0.500 0.010 x2

ΔE_f (raw) in kcal/mol of atoms: -25.1
Size of the total moment in μB per atom: 0.00

---

(4)
The following is a DFT calculation (GGA-PBE) of a relaxed Ca2TeAs crystal.

Unit cell a=7.567 b=7.567 c=7.567 alpha=90.00 beta=90.00 gamma=90.00
Space group Fm-3m (No. 225)
Unique sites:
Ca: 0.250 0.250 0.250 x8
Te: 0.000 0.000 0.000 x4
As: 0.000 0.000 0.500 x4

ΔE_f (raw) in kcal/mol of atoms: -23.6
Size of the total moment in μB per atom: 0.00

---

| no. | E (eV/cell) |
| --- | --- |
| 1 | -15.01 |
| 2 | -41.00 |
| 3 | -32.30 |
| 4 | -63.56 |